1.
# Rb2BaBr7

Crystalline Rb2BaBr7 at its relaxed geometry (PBE-GGA, Alexandria via LeMat-Bulk).

## Properties
SG ... I4/mmm
Volume ... 47.041 A^3/atom
Uncorrected formation energy ... -1.13 eV per atom
Crystal system ... tetragonal

```
data_Rb2BaBr7
_cell_length_a 9.0990
_cell_length_b 9.0990
_cell_length_c 8.5836
_cell_angle_alpha 57.99
_cell_angle_beta 57.99
_cell_angle_gamma 90.00
_space_group_name_H-M_alt 'P 1'
_space_group_IT_number 1
loop_
_space_group_symop_operation_xyz
'x,y,z'
loop_
_atom_site_label
_atom_site_fract_x
_atom_site_fract_y
_atom_site_fract_z
Br1 0.7588 0.7588 0.0000
Br2 0.2796 0.2796 0.4409
Br3 0.7588 0.2412 0.0000
Br4 0.2412 0.2412 0.0000
Br5 0.7204 0.7204 0.5591
Br6 0.5000 0.5000 0.0000
Br7 0.2412 0.7588 0.0000
Rb1 0.7500 0.2500 0.5000
Rb2 0.2500 0.7500 0.5000
Ba1 0.0000 0.0000 0.0000
```


2.
# Rb2BaRuBr6

Crystalline Rb2BaRuBr6 at its relaxed geometry (PBE-GGA, Alexandria via LeMat-Bulk).

## Properties
SG ... Fm-3m
Volume ... 36.494 A^3/atom
Uncorrected formation energy ... -1.28 eV per atom
Crystal system ... cubic

```
data_Rb2BaRuBr6
_cell_length_a 8.0213
_cell_length_b 8.0213
_cell_length_c 8.0213
_cell_angle_alpha 60.00
_cell_angle_beta 60.00
_cell_angle_gamma 90.00
_space_group_name_H-M_alt 'P 1'
_space_group_IT_number 1
loop_
_space_group_symop_operation_xyz
'x,y,z'
loop_
_atom_site_label
_atom_site_fract_x
_atom_site_fract_y
_atom_site_fract_z
Rb1 0.7500 0.2500 0.5000
Rb2 0.2500 0.7500 0.5000
Ba1 0.0000 0.0000 0.0000
Br1 0.7247 0.7247 0.0000
Br2 0.2753 0.2753 0.0000
Br3 0.2753 0.2753 0.4494
Br4 0.7247 0.7247 0.5506
Br5 0.2753 0.7247 0.0000
Br6 0.7247 0.2753 0.0000
Ru1 0.5000 0.5000 0.0000
```


3.
# Rb2BaSBr6

Crystalline Rb2BaSBr6 at its relaxed geometry (PBE-GGA, Alexandria via LeMat-Bulk).

## Properties
SG ... I4/mmm
Volume ... 42.731 A^3/atom
Uncorrected formation energy ... -1.11 eV per atom
Crystal system ... tetragonal

```
data_Rb2BaSBr6
_cell_length_a 8.7415
_cell_length_b 8.7415
_cell_length_c 8.3353
_cell_angle_alpha 58.37
_cell_angle_beta 58.37
_cell_angle_gamma 90.00
_space_group_name_H-M_alt 'P 1'
_space_group_IT_number 1
loop_
_space_group_symop_operation_xyz
'x,y,z'
loop_
_atom_site_label
_atom_site_fract_x
_atom_site_fract_y
_atom_site_fract_z
Br1 0.7468 0.2532 0.0000
Br2 0.2532 0.7468 0.0000
Br3 0.2835 0.2835 0.4330
Br4 0.7468 0.7468 0.0000
Br5 0.2532 0.2532 0.0000
Br6 0.7165 0.7165 0.5670
Ba1 0.0000 0.0000 0.0000
Rb1 0.2500 0.7500 0.5000
Rb2 0.7500 0.2500 0.5000
S1 0.5000 0.5000 0.0000
```


4.
# RbBa2ScBr8

Crystalline RbBa2ScBr8 at its relaxed geometry (PBE-GGA, Alexandria via LeMat-Bulk).

## Properties
SG ... P-1
Volume ... 41.132 A^3/atom
Uncorrected formation energy ... -1.91 eV per atom
Crystal system ... triclinic

```
data_RbBa2ScBr8
_cell_length_a 7.1009
_cell_length_b 7.0322
_cell_length_c 9.8851
_cell_angle_alpha 89.92
_cell_angle_beta 89.99
_cell_angle_gamma 90.66
_space_group_name_H-M_alt 'P 1'
_space_group_IT_number 1
loop_
_space_group_symop_operation_xyz
'x,y,z'
loop_
_atom_site_label
_atom_site_fract_x
_atom_site_fract_y
_atom_site_fract_z
Br1 0.5952 0.7512 0.5001
Br2 0.8583 0.2188 0.1946
Br3 0.3178 0.2243 0.0006
Br4 0.6822 0.7757 0.9994
Br5 0.8597 0.2199 0.8051
Br6 0.1417 0.7812 0.8054
Br7 0.4048 0.2488 0.4999
Br8 0.1403 0.7801 0.1949
Ba1 0.5003 0.5007 0.2394
Ba2 0.4997 0.4993 0.7606
Sc1 0.0000 0.0000 0.0000
Rb1 0.0000 0.0000 0.5000
```


5.
# RbBaScBr6

Crystalline RbBaScBr6 at its relaxed geometry (PBE-GGA, Alexandria via LeMat-Bulk).

## Properties
SG ... P-31c
Volume ... 41.938 A^3/atom
Uncorrected formation energy ... -1.88 eV per atom
Crystal system ... trigonal

```
data_RbBaScBr6
_cell_length_a 7.8840
_cell_length_b 7.8840
_cell_length_c 14.0233
_cell_angle_alpha 90.00
_cell_angle_beta 90.00
_cell_angle_gamma 120.00
_space_group_name_H-M_alt 'P 1'
_space_group_IT_number 1
loop_
_space_group_symop_operation_xyz
'x,y,z'
loop_
_atom_site_label
_atom_site_fract_x
_atom_site_fract_y
_atom_site_fract_z
Br1 0.0533 0.3956 0.6379
Br2 0.6577 0.0533 0.3621
Br3 0.3956 0.3423 0.3621
Br4 0.3423 0.9467 0.6379
Br5 0.3423 0.3956 0.8621
Br6 0.3956 0.0533 0.1379
Br7 0.6577 0.6044 0.1379
Br8 0.6044 0.6577 0.6379
Br9 0.9467 0.6044 0.3621
Br10 0.0533 0.6577 0.8621
Br11 0.6044 0.9467 0.8621
Br12 0.9467 0.3423 0.1379
Sc1 0.6667 0.3333 0.2500
Sc2 0.3333 0.6667 0.7500
Rb1 0.0000 0.0000 0.5000
Rb2 0.0000 0.0000 0.0000
Ba1 0.6667 0.3333 0.7500
Ba2 0.3333 0.6667 0.2500
```


6.
# RbBaSeBr

Crystalline RbBaSeBr at its relaxed geometry (PBE-GGA, Alexandria via LeMat-Bulk).

## Properties
ΔE to the lowest computed polymorph ... 0 meV per atom
SG ... R3m
Volume ... 41.235 A^3/atom
Uncorrected formation energy ... -1.80 eV per atom
Crystal system ... trigonal

```
data_RbBaSeBr
_cell_length_a 4.7705
_cell_length_b 4.7708
_cell_length_c 8.8108
_cell_angle_alpha 90.00
_cell_angle_beta 105.72
_cell_angle_gamma 120.00
_space_group_name_H-M_alt 'P 1'
_space_group_IT_number 1
loop_
_space_group_symop_operation_xyz
'x,y,z'
loop_
_atom_site_label
_atom_site_fract_x
_atom_site_fract_y
_atom_site_fract_z
Ba1 0.1177 0.9568 0.0897
Br1 0.9534 0.3746 0.3430
Rb1 0.4851 0.1405 0.6410
Se1 0.3218 0.5588 0.8959
```


7.
# RbBaSeBr

Crystalline RbBaSeBr at its relaxed geometry (PBE-GGA, Alexandria via LeMat-Bulk).

## Properties
ΔE to the lowest computed polymorph ... 112 meV per atom
SG ... F-43m
Volume ... 33.490 A^3/atom
Uncorrected formation energy ... -1.69 eV per atom
Crystal system ... cubic

```
data_RbBaSeBr
_cell_length_a 5.7433
_cell_length_b 5.7433
_cell_length_c 5.7433
_cell_angle_alpha 60.00
_cell_angle_beta 60.00
_cell_angle_gamma 60.00
_space_group_name_H-M_alt 'P 1'
_space_group_IT_number 1
loop_
_space_group_symop_operation_xyz
'x,y,z'
loop_
_atom_site_label
_atom_site_fract_x
_atom_site_fract_y
_atom_site_fract_z
Rb1 0.0000 0.0000 0.0000
Br1 0.7500 0.7500 0.7500
Se1 0.2500 0.2500 0.2500
Ba1 0.5000 0.5000 0.5000
```


8.
# Rb2BaSiBr6

Crystalline Rb2BaSiBr6 at its relaxed geometry (PBE-GGA, Alexandria via LeMat-Bulk).

## Properties
SG ... Fm-3m
Volume ... 41.069 A^3/atom
Uncorrected formation energy ... -1.38 eV per atom
Crystal system ... cubic

```
data_Rb2BaSiBr6
_cell_length_a 8.3429
_cell_length_b 8.3429
_cell_length_c 8.3437
_cell_angle_alpha 60.00
_cell_angle_beta 60.00
_cell_angle_gamma 90.00
_space_group_name_H-M_alt 'P 1'
_space_group_IT_number 1
loop_
_space_group_symop_operation_xyz
'x,y,z'
loop_
_atom_site_label
_atom_site_fract_x
_atom_site_fract_y
_atom_site_fract_z
Br1 0.2671 0.7329 0.0000
Br2 0.2671 0.2671 0.0000
Br3 0.2671 0.2671 0.4658
Br4 0.7329 0.2671 0.0000
Br5 0.7329 0.7329 0.5342
Br6 0.7329 0.7329 0.0000
Rb1 0.7500 0.2500 0.5000
Rb2 0.2500 0.7500 0.5000
Si1 0.5000 0.5000 0.0000
Ba1 0.0000 0.0000 0.0000
```


9.
# RbBa2SnBr

Crystalline RbBa2SnBr at its relaxed geometry (PBE-GGA, Alexandria via LeMat-Bulk).

## Properties
SG ... P4/mmm
Volume ... 59.016 A^3/atom
Uncorrected formation energy ... 0.25 eV per atom
Crystal system ... tetragonal

```
data_RbBa2SnBr
_cell_length_a 7.1320
_cell_length_b 5.8012
_cell_length_c 7.1320
_cell_angle_alpha 90.00
_cell_angle_beta 90.00
_cell_angle_gamma 90.00
_space_group_name_H-M_alt 'P 1'
_space_group_IT_number 1
loop_
_space_group_symop_operation_xyz
'x,y,z'
loop_
_atom_site_label
_atom_site_fract_x
_atom_site_fract_y
_atom_site_fract_z
Ba1 0.0000 0.0000 0.5000
Ba2 0.5000 0.0000 0.0000
Rb1 0.0000 0.0000 0.0000
Sn1 0.0000 0.5000 0.0000
Br1 0.5000 0.5000 0.5000
```


10.
# Rb2BaSrBr

Crystalline Rb2BaSrBr at its relaxed geometry (PBE-GGA, Alexandria via LeMat-Bulk).

## Properties
SG ... P4/mmm
Volume ... 62.654 A^3/atom
Uncorrected formation energy ... -0.50 eV per atom
Crystal system ... tetragonal

```
data_Rb2BaSrBr
_cell_length_a 6.8623
_cell_length_b 6.8623
_cell_length_c 6.6523
_cell_angle_alpha 90.00
_cell_angle_beta 90.00
_cell_angle_gamma 90.00
_space_group_name_H-M_alt 'P 1'
_space_group_IT_number 1
loop_
_space_group_symop_operation_xyz
'x,y,z'
loop_
_atom_site_label
_atom_site_fract_x
_atom_site_fract_y
_atom_site_fract_z
Rb1 0.5000 0.0000 0.0000
Rb2 0.0000 0.5000 0.0000
Br1 0.0000 0.0000 0.0000
Sr1 0.5000 0.5000 0.5000
Ba1 0.0000 0.0000 0.5000
```


Looking at size of the total moment for the records above, in order, we have 1.00 0.00 2.00 0.00 0.00 0.01 0.00 0.00 0.57 0.00 μB per formula unit.
Looking at N(E_F) for the records above, in order, we have 0.53 0.00 0.00 0.00 0.00 0.00 0.00 0.00 0.72 0.96 states/eV/atom.